Record 1
# PBE SmHo2Th3Se6, optimized geometry
data_SmHo2Th3Se6
_chemical_formula_sum 'Sm2 Ho4 Th6 Se12'
_cell_length_a 7.002
_cell_length_b 12.048
_cell_length_c 7.546
_cell_angle_alpha 90.00
_cell_angle_beta 107.79
_cell_angle_gamma 90.00
_space_group_name_H-M_alt 'C 1 2/m 1'
_space_group_IT_number 12
loop_
_space_group_symop_operation_xyz
'x,y,z'
'-x,-y,-z'
'-x,y,-z'
'x,-y,z'
'x+1/2,y+1/2,z'
'-x+1/2,-y+1/2,-z'
'-x+1/2,y+1/2,-z'
'x+1/2,-y+1/2,z'
loop_
_atom_site_label
_atom_site_type_symbol
_atom_site_fract_x
_atom_site_fract_y
_atom_site_fract_z
Sm1 Sm 0.000 0.000 0.000
Ho1 Ho 0.000 0.332 0.000
Th1 Th 0.000 0.163 0.500
Th2 Th 0.000 0.500 0.500
Se1 Se 0.237 0.500 0.232
Se2 Se 0.249 0.170 0.236
# - V (Å³/cell) = 606.1
# - calculated density (Mg/m³) = 9.04
# - crystal system = monoclinic
# - total moment (μB per formula unit) = 0.00
# - density of states at the Fermi level (states/eV per atom) = 0.657
# - ΔE_f (raw) (eV per atom) = -1.637

Record 2
# PBE Sm3HoTl4Se8, optimized geometry
data_Sm3HoTl4Se8
_chemical_formula_sum 'Sm9 Ho3 Tl12 Se24'
_cell_length_a 8.4953
_cell_length_b 8.4953
_cell_length_c 23.2970
_cell_angle_alpha 90.00
_cell_angle_beta 90.00
_cell_angle_gamma 120.00
_space_group_name_H-M_alt 'R -3 m'
_space_group_IT_number 166
_space_group_name_Hall '-R 3 2"'
loop_
_atom_site_label
_atom_site_type_symbol
_atom_site_fract_x
_atom_site_fract_y
_atom_site_fract_z
Sm1 Sm 0.0000 0.5000 0.0000
Ho1 Ho 0.0000 0.0000 0.0000
Tl1 Tl 0.0000 0.0000 0.5000
Tl2 Tl 0.0000 0.5000 0.5000
Se1 Se 0.0000 0.0000 0.2636
Se2 Se 0.0057 0.5028 0.7355
# - V (Å³/cell) = 1456.1
# - calculated density (Mg/m³) = 7.07
# - crystal system = trigonal
# - total moment (μB per formula unit) = 0.00
# - ΔE_f (raw) (eV per atom) = -1.383

Record 3
# PBE SmHo3Tl4Se8, optimized geometry
data_SmHo3Tl4Se8
_chemical_formula_sum 'Sm3 Ho9 Tl12 Se24'
_cell_length_a 8.3909
_cell_length_b 8.3909
_cell_length_c 23.3190
_cell_angle_alpha 90.00
_cell_angle_beta 90.00
_cell_angle_gamma 120.00
_space_group_name_H-M_alt 'R -3 m'
_space_group_IT_number 166
_space_group_name_Hall '-R 3 2"'
loop_
_atom_site_label
_atom_site_type_symbol
_atom_site_fract_x
_atom_site_fract_y
_atom_site_fract_z
Sm1 Sm 0.0000 0.0000 0.0000
Ho1 Ho 0.0000 0.5000 0.0000
Tl1 Tl 0.0000 0.0000 0.5000
Tl2 Tl 0.0000 0.5000 0.5000
Se1 Se 0.0000 0.0000 0.2658
Se2 Se 0.0056 0.5028 0.2650
# - V (Å³/cell) = 1421.9
# - calculated density (Mg/m³) = 7.34
# - crystal system = trigonal
# - total moment (μB per formula unit) = 0.00
# - ΔE_f (raw) (eV per atom) = -1.383

Record 4
# PBE SmHo2TmSe4, optimized geometry
data_SmHo2TmSe4
_chemical_formula_sum 'Sm1 Ho2 Tm1 Se4'
_cell_length_a 7.031
_cell_length_b 4.017
_cell_length_c 7.161
_cell_angle_alpha 90.00
_cell_angle_beta 108.74
_cell_angle_gamma 90.00
_space_group_name_H-M_alt 'P 1 2/m 1'
_space_group_IT_number 10
loop_
_space_group_symop_operation_xyz
'x,y,z'
'-x,-y,-z'
'-x,y,-z'
'x,-y,z'
loop_
_atom_site_label
_atom_site_type_symbol
_atom_site_fract_x
_atom_site_fract_y
_atom_site_fract_z
Sm1 Sm 0.000 0.000 0.000
Ho1 Ho 0.500 0.000 0.500
Ho2 Ho 0.500 0.500 0.000
Tm1 Tm 0.000 0.500 0.500
Se1 Se 0.251 0.000 0.743
Se2 Se 0.256 0.500 0.259
# - V (Å³/cell) = 191.6
# - calculated density (Mg/m³) = 8.37
# - crystal system = monoclinic
# - total moment (μB per formula unit) = 0.00
# - density of states at the Fermi level (states/eV per atom) = 0.543
# - ΔE_f (raw) (eV per atom) = -1.725

Record 5
# PBE SmHoTm2Se4, optimized geometry
data_SmHoTm2Se4
_chemical_formula_sum 'Sm1 Ho1 Tm2 Se4'
_cell_length_a 7.002
_cell_length_b 4.003
_cell_length_c 7.162
_cell_angle_alpha 90.00
_cell_angle_beta 108.69
_cell_angle_gamma 90.00
_space_group_name_H-M_alt 'P 1 2/m 1'
_space_group_IT_number 10
loop_
_space_group_symop_operation_xyz
'x,y,z'
'-x,-y,-z'
'-x,y,-z'
'x,-y,z'
loop_
_atom_site_label
_atom_site_type_symbol
_atom_site_fract_x
_atom_site_fract_y
_atom_site_fract_z
Sm1 Sm 0.000 0.000 0.000
Ho1 Ho 0.500 0.500 0.000
Tm1 Tm 0.000 0.500 0.500
Tm2 Tm 0.500 0.000 0.500
Se1 Se 0.252 0.000 0.742
Se2 Se 0.258 0.500 0.261
# - V (Å³/cell) = 190.1
# - calculated density (Mg/m³) = 8.46
# - crystal system = monoclinic
# - total moment (μB per formula unit) = 0.00
# - density of states at the Fermi level (states/eV per atom) = 0.530
# - ΔE_f (raw) (eV per atom) = -1.713

Record 6
# PBE SmHo3Tm2Se6, optimized geometry
data_SmHo3Tm2Se6
_chemical_formula_sum 'Sm2 Ho6 Tm4 Se12'
_cell_length_a 7.009
_cell_length_b 12.213
_cell_length_c 7.042
_cell_angle_alpha 90.00
_cell_angle_beta 109.43
_cell_angle_gamma 90.00
_space_group_name_H-M_alt 'C 1 2/m 1'
_space_group_IT_number 12
loop_
_space_group_symop_operation_xyz
'x,y,z'
'-x,-y,-z'
'-x,y,-z'
'x,-y,z'
'x+1/2,y+1/2,z'
'-x+1/2,-y+1/2,-z'
'-x+1/2,y+1/2,-z'
'x+1/2,-y+1/2,z'
loop_
_atom_site_label
_atom_site_type_symbol
_atom_site_fract_x
_atom_site_fract_y
_atom_site_fract_z
Sm1 Sm 0.000 0.000 0.000
Ho1 Ho 0.000 0.159 0.500
Ho2 Ho 0.000 0.500 0.500
Tm1 Tm 0.000 0.335 0.000
Se1 Se 0.239 0.500 0.247
Se2 Se 0.244 0.328 0.747
# - V (Å³/cell) = 568.5
# - calculated density (Mg/m³) = 8.51
# - crystal system = monoclinic
# - total moment (μB per formula unit) = 0.00
# - density of states at the Fermi level (states/eV per atom) = 0.429
# - ΔE_f (raw) (eV per atom) = -1.718

Record 7
# PBE Sm2HoTmSe5, optimized geometry
data_Sm2HoTmSe5
_chemical_formula_sum 'Sm2 Ho1 Tm1 Se5'
_cell_length_a 5.088
_cell_length_b 5.088
_cell_length_c 10.659
_cell_angle_alpha 90.00
_cell_angle_beta 90.00
_cell_angle_gamma 90.00
_space_group_name_H-M_alt 'P 4/m m m'
_space_group_IT_number 123
_space_group_name_Hall '-P 4 2'
loop_
_atom_site_label
_atom_site_type_symbol
_atom_site_fract_x
_atom_site_fract_y
_atom_site_fract_z
Sm1 Sm 0.000 0.000 0.175
Ho1 Ho 0.500 0.500 0.500
Tm1 Tm 0.500 0.500 0.000
Se1 Se 0.000 0.000 0.500
Se2 Se 0.000 0.500 0.000
Se3 Se 0.500 0.500 0.253
# - V (Å³/cell) = 275.9
# - calculated density (Mg/m³) = 6.19
# - crystal system = tetragonal
# - total moment (μB per formula unit) = 0.00
# - density of states at the Fermi level (states/eV per atom) = 0.665
# - ΔE_f (raw) (eV per atom) = -1.233

Record 8
# PBE SmHo4TmSe8, optimized geometry
data_SmHo4TmSe8
_chemical_formula_sum 'Sm3 Ho12 Tm3 Se24'
_cell_length_a 8.4087
_cell_length_b 8.4087
_cell_length_c 20.5577
_cell_angle_alpha 90.00
_cell_angle_beta 90.00
_cell_angle_gamma 120.00
_space_group_name_H-M_alt 'R 3 m'
_space_group_IT_number 160
_space_group_name_Hall 'R 3 -2"'
loop_
_atom_site_label
_atom_site_type_symbol
_atom_site_fract_x
_atom_site_fract_y
_atom_site_fract_z
Sm1 Sm 0.0000 0.0000 0.0000
Ho1 Ho 0.0000 0.0000 0.2492
Ho2 Ho 0.0016 0.5008 0.1248
Tm1 Tm 0.0000 0.0000 0.6243
Se1 Se 0.0000 0.0000 0.3814
Se2 Se 0.0000 0.0000 0.8650
Se3 Se 0.0283 0.5142 0.3772
Se4 Se 0.1773 0.3545 0.2065
# - V (Å³/cell) = 1258.8
# - calculated density (Mg/m³) = 6.37
# - crystal system = trigonal
# - total moment (μB per formula unit) = 0.00
# - density of states at the Fermi level (states/eV per atom) = 0.631
# - ΔE_f (raw) (eV per atom) = -1.702

Record 9
# PBE Sm2HoTmSe4, optimized geometry
data_Sm2HoTmSe4
_chemical_formula_sum 'Sm2 Ho1 Tm1 Se4'
_cell_length_a 7.039
_cell_length_b 4.039
_cell_length_c 7.264
_cell_angle_alpha 90.00
_cell_angle_beta 108.68
_cell_angle_gamma 90.00
_space_group_name_H-M_alt 'P 1 2/m 1'
_space_group_IT_number 10
loop_
_space_group_symop_operation_xyz
'x,y,z'
'-x,-y,-z'
'-x,y,-z'
'x,-y,z'
loop_
_atom_site_label
_atom_site_type_symbol
_atom_site_fract_x
_atom_site_fract_y
_atom_site_fract_z
Sm1 Sm 0.000 0.000 0.000
Sm2 Sm 0.500 0.500 0.000
Ho1 Ho 0.000 0.500 0.500
Tm1 Tm 0.500 0.000 0.500
Se1 Se 0.247 0.000 0.737
Se2 Se 0.257 0.500 0.264
# - V (Å³/cell) = 195.7
# - calculated density (Mg/m³) = 8.07
# - crystal system = monoclinic
# - total moment (μB per formula unit) = 0.00
# - density of states at the Fermi level (states/eV per atom) = 0.501
# - ΔE_f (raw) (eV per atom) = -1.758

Record 10
# PBE Sm2Ho3TmSe6, optimized geometry
data_Sm2Ho3TmSe6
_chemical_formula_sum 'Sm4 Ho6 Tm2 Se12'
_cell_length_a 17.819
_cell_length_b 4.070
_cell_length_c 8.224
_cell_angle_alpha 90.00
_cell_angle_beta 103.37
_cell_angle_gamma 90.00
_space_group_name_H-M_alt 'C 1 2/m 1'
_space_group_IT_number 12
loop_
_space_group_symop_operation_xyz
'x,y,z'
'-x,-y,-z'
'-x,y,-z'
'x,-y,z'
'x+1/2,y+1/2,z'
'-x+1/2,-y+1/2,-z'
'-x+1/2,y+1/2,-z'
'x+1/2,-y+1/2,z'
loop_
_atom_site_label
_atom_site_type_symbol
_atom_site_fract_x
_atom_site_fract_y
_atom_site_fract_z
Sm1 Sm 0.169 0.000 0.337
Ho1 Ho 0.000 0.500 0.500
Ho2 Ho 0.171 0.000 0.833
Tm1 Tm 0.000 0.500 0.000
Se1 Se 0.003 0.000 0.755
Se2 Se 0.163 0.500 0.589
Se3 Se 0.164 0.500 0.074
# - V (Å³/cell) = 580.2
# - calculated density (Mg/m³) = 8.23
# - crystal system = monoclinic
# - total moment (μB per formula unit) = 0.00
# - density of states at the Fermi level (states/eV per atom) = 0.473
# - ΔE_f (raw) (eV per atom) = -1.743

Record 11
# PBE Sm3Y2HoSe6, optimized geometry
data_Sm3Y2HoSe6
_chemical_formula_sum 'Sm6 Y4 Ho2 Se12'
_cell_length_a 7.095
_cell_length_b 12.363
_cell_length_c 7.189
_cell_angle_alpha 90.00
_cell_angle_beta 109.32
_cell_angle_gamma 90.00
_space_group_name_H-M_alt 'C 1 2/m 1'
_space_group_IT_number 12
loop_
_space_group_symop_operation_xyz
'x,y,z'
'-x,-y,-z'
'-x,y,-z'
'x,-y,z'
'x+1/2,y+1/2,z'
'-x+1/2,-y+1/2,-z'
'-x+1/2,y+1/2,-z'
'x+1/2,-y+1/2,z'
loop_
_atom_site_label
_atom_site_type_symbol
_atom_site_fract_x
_atom_site_fract_y
_atom_site_fract_z
Sm1 Sm 0.000 0.000 0.000
Sm2 Sm 0.000 0.332 0.000
Y1 Y 0.000 0.167 0.500
Ho1 Ho 0.000 0.500 0.500
Se1 Se 0.246 0.334 0.741
Se2 Se 0.249 0.000 0.742
# - V (Å³/cell) = 595.1
# - calculated density (Mg/m³) = 7.07
# - crystal system = monoclinic
# - total moment (μB per formula unit) = 0.00
# - density of states at the Fermi level (states/eV per atom) = 0.477
# - ΔE_f (raw) (eV per atom) = -1.788

Record 12
# PBE Sm3YHo2Se6, optimized geometry
data_Sm3YHo2Se6
_chemical_formula_sum 'Sm6 Y2 Ho4 Se12'
_cell_length_a 7.079
_cell_length_b 12.337
_cell_length_c 7.192
_cell_angle_alpha 90.00
_cell_angle_beta 109.28
_cell_angle_gamma 90.00
_space_group_name_H-M_alt 'C 1 2/m 1'
_space_group_IT_number 12
loop_
_space_group_symop_operation_xyz
'x,y,z'
'-x,-y,-z'
'-x,y,-z'
'x,-y,z'
'x+1/2,y+1/2,z'
'-x+1/2,-y+1/2,-z'
'-x+1/2,y+1/2,-z'
'x+1/2,-y+1/2,z'
loop_
_atom_site_label
_atom_site_type_symbol
_atom_site_fract_x
_atom_site_fract_y
_atom_site_fract_z
Sm1 Sm 0.000 0.000 0.000
Sm2 Sm 0.000 0.335 0.000
Y1 Y 0.000 0.500 0.500
Ho1 Ho 0.000 0.166 0.500
Se1 Se 0.244 0.000 0.739
Se2 Se 0.248 0.332 0.740
# - V (Å³/cell) = 592.9
# - calculated density (Mg/m³) = 7.53
# - crystal system = monoclinic
# - total moment (μB per formula unit) = 0.00
# - density of states at the Fermi level (states/eV per atom) = 0.477
# - ΔE_f (raw) (eV per atom) = -1.781

Which value of calculated density does entry 2 give? 7.07 Mg/m³